Sn2BiSe | Alexandria | GGA-PBE | optimized geometry; magnetic moment = 0.0 μB/cell; uncorrected formation energy = -3.8 kJ/mol of atoms
1.0
3.631 0.000 0.000
0.000 3.631 0.000
0.000 0.000 8.330
Sn Bi Se
2 1 1
direct
0.000 0.000 0.215
0.000 0.000 0.785
0.500 0.500 0.500
0.500 0.500 0.000